Entry 1:
A geometry-optimized ZrTi2Be2Rh5 structure, computed with PBE-GGA.

```
ZrTi2Be2Rh5
1.0
9.280 0.000 0.000
0.000 9.280 0.000
0.000 0.000 3.289
Zr Ti Be Rh
2 4 4 10
Direct
0.000 0.000 0.000
0.500 0.500 0.000
0.173 0.327 0.000
0.327 0.827 0.000
0.673 0.173 0.000
0.827 0.673 0.000
0.121 0.621 0.000
0.379 0.121 0.000
0.621 0.879 0.000
0.879 0.379 0.000
0.000 0.500 0.500
0.076 0.785 0.500
0.215 0.076 0.500
0.285 0.576 0.500
0.424 0.285 0.500
0.500 0.000 0.500
0.576 0.715 0.500
0.715 0.424 0.500
0.785 0.924 0.500
0.924 0.215 0.500
```

Summary:
Its electronic total energy is -151.1 eV per cell.

***

Entry 2:
A geometry-optimized BeTl2Rh2 structure, computed with PBE-GGA.

```
BeTl2Rh2
1.0
6.262 0.000 0.000
0.000 6.262 0.000
0.000 0.000 4.417
Be Tl Rh
2 4 4
Direct
0.000 0.000 0.000
0.500 0.500 0.000
0.167 0.333 0.500
0.333 0.833 0.500
0.667 0.167 0.500
0.833 0.667 0.500
0.156 0.656 0.000
0.344 0.156 0.000
0.656 0.844 0.000
0.844 0.344 0.000
```

Summary:
For the excess energy over the best structure of this formula in the dataset, the calculation gives 0.0 meV per atom.

***

Entry 3:
A geometry-optimized Be2TlRh structure, computed with PBE-GGA.

```
Be2TlRh
1.0
3.034 0.000 0.000
0.000 3.034 0.000
0.000 0.000 6.118
Be Tl Rh
2 1 1
Direct
0.000 0.000 0.000
0.500 0.500 0.191
0.500 0.500 0.698
0.000 0.000 0.351
```

Summary:
For the excess energy over the best structure of this formula in the dataset, the calculation gives 129.6 meV per atom.

***

Please write out number 2 again, unchanged.
A geometry-optimized BeTl2Rh2 structure, computed with PBE-GGA.

```
BeTl2Rh2
1.0
6.262 0.000 0.000
0.000 6.262 0.000
0.000 0.000 4.417
Be Tl Rh
2 4 4
Direct
0.000 0.000 0.000
0.500 0.500 0.000
0.167 0.333 0.500
0.333 0.833 0.500
0.667 0.167 0.500
0.833 0.667 0.500
0.156 0.656 0.000
0.344 0.156 0.000
0.656 0.844 0.000
0.844 0.344 0.000
```

Summary:
For the excess energy over the best structure of this formula in the dataset, the calculation gives 0.0 meV per atom.

***

Copy entry 2 word for word.
A geometry-optimized BeTl2Rh2 structure, computed with PBE-GGA.

```
BeTl2Rh2
1.0
6.262 0.000 0.000
0.000 6.262 0.000
0.000 0.000 4.417
Be Tl Rh
2 4 4
Direct
0.000 0.000 0.000
0.500 0.500 0.000
0.167 0.333 0.500
0.333 0.833 0.500
0.667 0.167 0.500
0.833 0.667 0.500
0.156 0.656 0.000
0.344 0.156 0.000
0.656 0.844 0.000
0.844 0.344 0.000
```

Summary:
For the excess energy over the best structure of this formula in the dataset, the calculation gives 0.0 meV per atom.